Record 1
Compound: GdBi2O4F
Source: the Open Quantum Materials Database
Functional: PBE
Structure: relaxed

Cell: 3.8176 3.8176 8.4819 Å, 90.00 90.00 90.00°
Sites, in units of the cell vectors:
O 0.5000 0.0000 0.8338
O 0.0000 0.5000 0.1662
O 0.5000 0.0000 0.1662
O 0.0000 0.5000 0.8338
F 0.0000 0.0000 0.5000
Bi 0.5000 0.5000 0.7000
Bi 0.5000 0.5000 0.3000
Gd 0.0000 0.0000 0.0000

E   -51.7 eV per cell
Space-group type   No. 123

***

Record 2
Compound: TbTm2In3PtAu2
Source: the Open Quantum Materials Database
Functional: PBE
Structure: relaxed

Cell: 3.9343 7.6978 7.6978 Å, 120.15 90.00 90.00°
Sites, in units of the cell vectors:
Tm 0.0000 0.4002 0.9998
Tm 0.0000 0.9998 0.4002
In 0.5000 0.2574 0.2574
In 0.5000 0.0007 0.7432
In 0.5000 0.7432 0.0007
Tb 0.0000 0.5981 0.5981
Au 0.5000 0.6678 0.3303
Au 0.5000 0.3303 0.6678
Pt 0.0000 0.0025 0.0025

E   -41.8 eV per cell
Space-group type   No. 38

***

Record 3
Compound: NaFe3
Source: the Open Quantum Materials Database
Functional: PBE
Structure: relaxed

Cell: 3.8007 3.8007 3.8007 Å, 90.00 90.00 90.00°
Each line ends with the local moment (μB).
Sites, in units of the cell vectors:
Na 0.0000 0.0000 0.0000  -0.04
Fe 0.0000 0.5000 0.5000  2.50
Fe 0.5000 0.0000 0.5000  2.67
Fe 0.5000 0.5000 0.0000  2.87

E   -23.2 eV per cell
Space-group type   No. 221

***

Record 4
Compound: TmMoPt
Source: the Open Quantum Materials Database
Functional: PBE
Structure: relaxed

Cell: 4.5229 4.5229 4.5229 Å, 60.00 60.00 60.00°
Sites, in units of the cell vectors:
Mo 0.2500 0.2500 0.2500
Tm 0.7500 0.7500 0.7500
Pt 0.0000 0.0000 0.0000

Space-group type   No. 216
Distance to the lowest polymorph of the same formula   0.000 eV per atom
Calculated formation energy   0.04 eV/atom

***

Record 5
Compound: TbPrH4
Source: the Open Quantum Materials Database
Functional: PBE
Structure: relaxed

Cell: 3.7784 3.7784 5.3976 Å, 90.00 90.00 90.00°
Sites, in units of the cell vectors:
H 0.5000 0.0000 0.7667
H 0.0000 0.5000 0.7667
H 0.5000 0.0000 0.2333
H 0.0000 0.5000 0.2333
Tb 0.5000 0.5000 0.0000
Pr 0.0000 0.0000 0.5000

E   -26.8 eV per cell
Space-group type   No. 123

***

Record 6
Compound: Cu2BrCl
Source: the Open Quantum Materials Database
Functional: PBE
Structure: relaxed

Cell: 3.9159 3.9159 6.4448 Å, 90.00 90.00 120.00°
Sites, in units of the cell vectors:
Cu 0.3333 0.6667 0.6449
Cu 0.0000 0.0000 0.1140
Br 0.0000 0.0000 0.4972
Cl 0.3333 0.6667 0.0039

E   -12.2 eV per cell
Space-group type   No. 156

***

Record 7
Compound: CsEr2Cu3Se4S
Source: the Open Quantum Materials Database
Functional: PBE
Structure: relaxed

Cell: 7.5940 7.5940 17.0785 Å, 90.00 90.00 148.84°
Sites, in units of the cell vectors:
Cs 0.5662 0.4338 0.2500
Cs 0.4338 0.5662 0.7500
Se 0.3307 0.6693 0.5698
Se 0.0606 0.9394 0.6142
Se 0.9394 0.0606 0.1142
Se 0.0606 0.9394 0.8858
Se 0.6693 0.3307 0.4302
Se 0.9394 0.0606 0.3858
Se 0.3307 0.6693 0.9302
Se 0.6693 0.3307 0.0698
Cu 0.0839 0.9161 0.4693
Cu 0.1612 0.8388 0.7500
Cu 0.9161 0.0839 0.5307
Cu 0.9161 0.0839 0.9693
Cu 0.0839 0.9161 0.0307
Cu 0.8388 0.1612 0.2500
Er 0.3069 0.6931 0.4050
Er 0.6931 0.3069 0.9050
Er 0.6931 0.3069 0.5950
Er 0.3069 0.6931 0.0950
S 0.2682 0.7318 0.2500
S 0.7318 0.2682 0.7500

E   -103.7 eV per cell
Space-group type   No. 63

***

Record 8
Compound: PrNdZn6
Source: the Open Quantum Materials Database
Functional: PBE
Structure: relaxed

Cell: 4.8019 6.7686 4.8044 Å, 90.00 90.00 90.00°
Sites, in units of the cell vectors:
Zn 0.5000 0.7509 0.7551
Zn 0.0000 0.5000 0.7468
Zn 0.5000 0.2491 0.7551
Zn 0.0000 0.2490 0.2449
Zn 0.0000 0.7510 0.2449
Zn 0.5000 0.0000 0.2533
Pr 0.5000 0.5000 0.2541
Nd 0.0000 0.0000 0.7458

Space-group type   No. 25
Calculated formation energy   -0.27 eV/atom

***

Record 9
Compound: ZrNb2Pt
Source: the Open Quantum Materials Database
Functional: PBE
Structure: relaxed

Cell: 4.6767 4.6767 4.6767 Å, 60.00 60.00 60.00°
Sites, in units of the cell vectors:
Pt 0.7500 0.7500 0.7500
Nb 0.5000 0.5000 0.5000
Nb 0.2500 0.2500 0.2500
Zr 0.0000 0.0000 0.0000

Space-group type   No. 216
Calculated formation energy   -0.37 eV/atom

***

Record 10
Compound: Hf2AlO4
Source: the Open Quantum Materials Database
Functional: PBE
Structure: relaxed

Cell: 6.5112 6.5112 6.5112 Å, 119.96 90.07 119.96°
Sites, in units of the cell vectors:
Al 0.7500 0.5000 0.2500
Al 0.0000 0.0000 0.0000
O 0.1435 0.2871 0.4306
O 0.6064 0.2129 0.3935
O 0.1806 0.7871 0.3935
O 0.5694 0.7129 0.8565
O 0.1435 0.7129 0.8564
O 0.6065 0.7871 0.3936
O 0.1436 0.2871 0.8565
O 0.6065 0.2129 0.8194
Hf 0.3750 0.7500 0.6250
Hf 0.8750 0.2500 0.6250
Hf 0.3750 0.2500 0.6250
Hf 0.3750 0.7500 0.1250

E   -121.0 eV per cell
Space-group type   No. 141

***

Record 11
Compound: ScNiBPd
Source: the Open Quantum Materials Database
Functional: PBE
Structure: relaxed

Cell: 4.1871 4.1871 4.1871 Å, 60.00 60.00 60.00°
Sites, in units of the cell vectors:
Ni 0.5000 0.5000 0.5000
Sc 0.7500 0.7500 0.7500
B 0.0000 0.0000 0.0000
Pd 0.2500 0.2500 0.2500

Space-group type   No. 216
Distance to the lowest polymorph of the same formula   0.000 eV per atom

***

Record 12
Compound: Zn2FeGePt4
Source: the Open Quantum Materials Database
Functional: PBE
Structure: relaxed

Cell: 4.5936 4.5936 5.6296 Å, 90.00 90.00 90.00°
Each line ends with the local moment (μB).
Sites, in units of the cell vectors:
Pt 0.0000 0.5000 0.7505  0.07
Pt 0.5000 0.0000 0.2495  0.11
Pt 0.5000 0.0000 0.7505  0.11
Pt 0.0000 0.5000 0.2495  0.07
Ge 0.5000 0.5000 0.5000  0.01
Fe 0.0000 0.0000 0.0000  3.10
Zn 0.0000 0.0000 0.5000  -0.02
Zn 0.5000 0.5000 0.0000  0.00

E   -42.4 eV per cell
Space-group type   No. 123

***

Record 13
Compound: GaPd5
Source: the Open Quantum Materials Database
Functional: PBE
Structure: relaxed

Cell: 4.8451 4.8451 8.3763 Å, 93.98 93.98 109.82°
Sites, in units of the cell vectors:
Pd 0.8206 0.1794 0.5000
Pd 0.7004 0.6548 0.6482
Pd 0.2250 0.7750 0.5000
Pd 0.7706 0.7249 0.9937
Pd 0.7458 0.1934 0.8279
Pd 0.3452 0.2996 0.3518
Pd 0.3000 0.7610 0.1721
Pd 0.2751 0.2294 0.0063
Pd 0.2390 0.7000 0.8279
Pd 0.8066 0.2542 0.1721
Ga 0.2505 0.2048 0.6944
Ga 0.7952 0.7495 0.3056

E   -61.9 eV per cell
Space-group type   No. 12

***

Record 14
Compound: YZnPt
Source: the Open Quantum Materials Database
Functional: PBE
Structure: relaxed

Cell: 4.6721 4.6721 4.6721 Å, 60.00 60.00 60.00°
Sites, in units of the cell vectors:
Pt 0.2500 0.2500 0.2500
Y 0.0000 0.0000 0.0000
Zn 0.7500 0.7500 0.7500

Space-group type   No. 216
Calculated formation energy   -0.30 eV/atom

***

Record 15
Compound: KTbSiTe3
Source: the Open Quantum Materials Database
Functional: PBE
Structure: relaxed

Cell: 7.8967 7.8967 11.9743 Å, 90.00 90.00 144.86°
Sites, in units of the cell vectors:
Te 0.6308 0.3692 0.4443
Te 0.9394 0.0606 0.2500
Te 0.3692 0.6308 0.9443
Te 0.6308 0.3692 0.0557
Te 0.3692 0.6308 0.5557
Te 0.0606 0.9394 0.7500
K 0.2485 0.7515 0.2500
K 0.7515 0.2485 0.7500
Si 0.5322 0.4678 0.2500
Si 0.4678 0.5322 0.7500
Tb 0.0000 0.0000 0.0000
Tb 0.0000 0.0000 0.5000

E   -49.9 eV per cell
Space-group type   No. 63

***

Record 16
Compound: Cu2Ag3
Source: the Open Quantum Materials Database
Functional: PBE
Structure: relaxed

Cell: 7.5287 7.5287 7.6123 Å, 104.79 104.79 21.86°
Sites, in units of the cell vectors:
Ag 0.1981 0.1981 0.5967
Ag 0.0011 0.0011 0.4878
Ag 0.3996 0.3996 0.1693
Ag 0.8000 0.8000 0.3897
Ag 0.5994 0.5994 0.8167
Ag 0.3992 0.3992 0.7318
Cu 0.6038 0.6038 0.2809
Cu 0.0122 0.0122 0.0198
Cu 0.1992 0.1992 0.1028
Cu 0.7874 0.7874 0.9046

Space-group type   No. 8
Distance to the lowest polymorph of the same formula   0.043 eV per atom
Calculated formation energy   0.08 eV/atom

***

Record 17
Compound: TaTcMo
Source: the Open Quantum Materials Database
Functional: PBE
Structure: relaxed

Cell: 4.3118 4.3118 4.3118 Å, 60.00 60.00 60.00°
Sites, in units of the cell vectors:
Mo 0.2500 0.2500 0.2500
Tc 0.0000 0.0000 0.0000
Ta 0.7500 0.7500 0.7500

Space-group type   No. 216
Distance to the lowest polymorph of the same formula   0.000 eV per atom
Calculated formation energy   0.51 eV/atom

***

Record 18
Compound: NbRe2Ir
Source: the Open Quantum Materials Database
Functional: PBE
Structure: relaxed

Cell: 4.4671 4.4671 4.4671 Å, 60.00 60.00 60.00°
Each line ends with the local moment (μB).
Sites, in units of the cell vectors:
Nb 0.7500 0.7500 0.7500  0.17
Ir 0.5000 0.5000 0.5000  0.53
Re 0.2500 0.2500 0.2500  0.57
Re 0.0000 0.0000 0.0000  0.07

Space-group type   No. 216
Calculated formation energy   0.16 eV/atom

***

Record 19
Compound: AcLuHf
Source: the Open Quantum Materials Database
Functional: PBE
Structure: relaxed

Cell: 5.3732 5.3732 5.3732 Å, 60.00 60.00 60.00°
Sites, in units of the cell vectors:
Lu 0.7500 0.7500 0.7500
Hf 0.2500 0.2500 0.2500
Ac 0.0000 0.0000 0.0000

Space-group type   No. 216
Distance to the lowest polymorph of the same formula   0.344 eV per atom
Calculated formation energy   1.20 eV/atom

***

Record 20
Compound: HoSiPt2
Source: the Open Quantum Materials Database
Functional: PBE
Structure: relaxed

Cell: 4.0220 6.5523 5.5672 Å, 90.00 90.00 90.00°
Sites, in units of the cell vectors:
Ho 0.5000 0.9228 0.8670
Ho 0.0000 0.0772 0.3670
Pt 0.0000 0.2588 0.8419
Pt 0.5000 0.3425 0.1695
Pt 0.0000 0.6575 0.6695
Pt 0.5000 0.7412 0.3419
Si 0.5000 0.3910 0.6216
Si 0.0000 0.6090 0.1216

E   -52.0 eV per cell
Space-group type   No. 31